First-principles (PBE) data for Sc3SiRu after structural relaxation, as listed in Alexandria.

DOS at the Fermi energy = 0.57 states/eV/atom
symmetry = Pm-3m (221)
energy above the most stable polymorph in this dataset = 0.000 eV/atom
formation energy (no corrections) = 0.015 eV per atom

Cell lengths 4.8913, 4.8913, 4.8913 Å; angles 90.00, 90.00, 90.00 degrees
Closest atoms and distances in Å follow each position.
Sites, in units of the cell vectors:
Si: 0.5000 0.5000 0.5000  12 Sc 3.46
Sc: 0.5000 0.0000 0.0000  2 Ru 2.45
Sc: 0.0000 0.5000 0.0000  2 Ru 2.45
Sc: 0.0000 0.0000 0.5000  2 Ru 2.45
Ru: 0.0000 0.0000 0.0000  6 Sc 2.45